Entry 1:
First-principles (PBE-GGA) data for crystalline Sm7TlZn4 at its relaxed geometry, as listed in Alexandria via LeMat-Bulk.

Structure (POSCAR):
```
Sm7TlZn4
1.0
5.8308 0.0000 0.0000
2.9154 8.2539 1.1402
2.9154 1.2348 6.9740
Sm Zn Tl
7 4 1
Direct
0.9249 0.4056 0.7446
0.1854 0.1231 0.5062
0.0751 0.5944 0.2554
0.2770 0.6838 0.7621
0.8146 0.8769 0.4938
0.5000 0.0000 0.0000
0.7230 0.3162 0.2379
0.6877 0.6633 0.9613
0.4865 0.6699 0.3572
0.5135 0.3301 0.6428
0.3123 0.3367 0.0387
0.0000 0.0000 0.0000
```

Computed properties:
Spin magnetization in μB/cell: 0.000
DFT formation energy in eV per atom: -0.111

=====

Entry 2:
First-principles (PBE-GGA) data for crystalline SiPdIO2 at its relaxed geometry, as listed in Alexandria via LeMat-Bulk.

Structure (POSCAR):
```
SiPdIO2
1.0
4.0762 0.0000 0.0000
0.0000 4.0762 0.0000
0.0000 0.0000 5.3744
Pd O I Si
1 2 1 1
Direct
0.0000 0.0000 0.0000
0.0000 0.5000 0.0000
0.5000 0.0000 0.0000
0.0000 0.0000 0.5000
0.5000 0.5000 0.5000
```

Computed properties:
Spin magnetization in μB/cell: 0.001
Formation energy (no corrections) in eV/f.u.: 2.318
Distance to the lowest polymorph of the same formula in eV/f.u.: 5.99

=====

Entry 3:
First-principles (PBE-GGA) data for crystalline Tb2TmIn2Ag2 at its relaxed geometry, as listed in Alexandria via LeMat-Bulk.

Structure (POSCAR):
```
Tb2TmIn2Ag2
1.0
4.8226 0.0000 0.0000
2.4113 4.1765 0.0000
2.4113 1.3922 8.9182
Tb In Ag Tm
2 2 2 1
Direct
0.1256 0.1256 0.6233
0.8744 0.8744 0.3767
0.7388 0.7388 0.7837
0.2612 0.2612 0.2163
0.3925 0.3925 0.8226
0.6075 0.6075 0.1774
0.0000 0.0000 0.0000
```

Computed properties:
Spin magnetization in μB/cell: 0.000
DFT formation energy in eV per atom: -0.268

=====

Entry 4:
First-principles (PBE-GGA) data for crystalline Nd9Tm2Sc at its relaxed geometry, as listed in Alexandria via LeMat-Bulk.

Structure (POSCAR):
```
Nd9Tm2Sc
1.0
5.1099 0.0000 0.0000
0.0000 5.1099 0.0000
0.0000 0.0000 15.3176
Nd Tm Sc
9 2 1
Direct
0.0000 0.5000 0.5000
0.5000 0.0000 0.1633
0.5000 0.5000 0.0000
0.5000 0.5000 0.3318
0.5000 0.0000 0.5000
0.5000 0.0000 0.8367
0.0000 0.5000 0.1633
0.0000 0.5000 0.8367
0.5000 0.5000 0.6682
0.0000 0.0000 0.6683
0.0000 0.0000 0.3317
0.0000 0.0000 0.0000
```

Computed properties:
Spin magnetization in μB/cell: 0.000
DFT formation energy in eV per atom: 0.023

=====

Entry 5:
First-principles (PBE-GGA) data for crystalline Ba2CaNiH6 at its relaxed geometry, as listed in Alexandria via LeMat-Bulk.

Structure (POSCAR):
```
Ba2CaNiH6
1.0
5.7429 0.0000 0.0000
0.0000 5.7697 0.0000
0.0000 -2.8848 4.9967
Ba H Ni Ca
2 6 1 1
Direct
0.1499 0.3333 0.6667
0.8501 0.6667 0.3333
0.8243 0.1392 0.8608
0.1757 0.2784 0.1392
0.1757 0.8608 0.7216
0.1757 0.8608 0.1392
0.8243 0.1392 0.2784
0.8243 0.7216 0.8608
0.0000 0.0000 0.0000
0.5000 0.0000 0.0000
```

Computed properties:
Spin magnetization in μB/cell: 0.463
Raw total energy in eV per atom: -3.519

=====

Entry 6:
First-principles (PBE-GGA) data for crystalline K4CeSc3Te8 at its relaxed geometry, as listed in Alexandria via LeMat-Bulk.

Structure (POSCAR):
```
K4CeSc3Te8
1.0
8.7964 0.0000 0.0000
0.0000 9.6367 0.5895
-4.3982 -4.3974 6.2210
Sc Te K Ce
3 8 4 1
Direct
0.5000 0.5000 0.5000
0.0000 0.5000 0.5000
0.5000 0.5000 0.0000
0.7320 0.6958 0.4639
0.2428 0.7033 0.4855
0.2428 0.7034 0.9607
0.7572 0.2967 0.5145
0.2680 0.3042 0.5361
0.7572 0.2966 0.0393
0.2821 0.2966 0.0393
0.7179 0.7034 0.9607
0.5000 0.0000 0.5000
0.5000 0.0000 0.0000
0.0000 0.0000 0.5000
0.0000 0.0000 0.0000
0.0000 0.5000 0.0000
```

Computed properties:
Spin magnetization in μB/cell: 0.990
Formation energy (no corrections) in eV/f.u.: -20.227

=====

Entry 7:
First-principles (PBE-GGA) data for crystalline Eu2CuN at its relaxed geometry, as listed in Alexandria via LeMat-Bulk.

Structure (POSCAR):
```
Eu2CuN
1.0
3.5388 0.0000 0.0000
1.7694 3.0647 0.0000
1.7694 1.0216 8.6386
Eu Cu N
2 1 1
Direct
0.8873 0.8873 0.3380
0.1127 0.1127 0.6620
0.0000 0.0000 0.0000
0.5000 0.5000 0.5000
```

Computed properties:
Spin magnetization in μB/cell: 14.145
Formation energy (no corrections) in eV/f.u.: -0.814
Distance to the lowest polymorph of the same formula in eV/f.u.: 0.24

=====

Entry 8:
First-principles (PBE-GGA) data for crystalline Ti2GaW at its relaxed geometry, as listed in Alexandria via LeMat-Bulk.

Structure (POSCAR):
```
Ti2GaW
1.0
4.8187 -1.6406 -3.0256
-1.4701 4.8734 3.0256
-3.3855 0.1560 4.8559
W Ti Ga
1 2 1
Direct
0.0000 0.5000 0.5000
0.0000 0.7595 0.7595
0.0000 0.2405 0.2405
0.0000 0.0000 0.0000
```

Computed properties:
Spin magnetization in μB/cell: 0.000
DFT formation energy in eV per atom: 0.364

=====

Entry 9:
First-principles (PBE-GGA) data for crystalline Rb2TlAu at its relaxed geometry, as listed in Alexandria via LeMat-Bulk.

Structure (POSCAR):
```
Rb2TlAu
1.0
-0.7720 -6.4867 10.8562
10.2255 -6.7200 -3.2881
6.3401 -4.7472 5.0078
Au Tl Rb
2 2 4
Direct
0.2500 0.7500 0.5000
0.5000 0.5000 0.0000
0.7500 0.2500 0.5000
0.0000 0.0000 0.0000
0.8750 0.7147 0.7500
0.4647 0.1250 0.2500
0.3750 0.5353 0.7500
0.2853 0.6250 0.2500
```

Computed properties:
Spin magnetization in μB/cell: 0.000
DFT formation energy in eV per atom: -0.087
Distance to the lowest polymorph of the same formula in eV/f.u.: 0.34

=====

Entry 10:
First-principles (PBE-GGA) data for crystalline Ac3PrNd7 at its relaxed geometry, as listed in Alexandria via LeMat-Bulk.

Structure (POSCAR):
```
Ac3PrNd7
1.0
-0.7706 -4.9192 -3.4797
0.9641 -2.4523 8.5553
-7.9409 2.9409 2.9032
Ac Pr Nd
3 1 7
Direct
0.0000 0.7892 0.2108
0.5000 0.0000 0.0000
0.0000 0.2108 0.7892
0.5000 0.5000 0.5000
0.2135 0.2141 0.2141
0.7054 0.0024 0.4091
0.7865 0.7859 0.7859
0.2946 0.9976 0.5909
0.0000 0.5000 0.5000
0.2946 0.5909 0.9976
0.7054 0.4091 0.0024
```

Computed properties:
Spin magnetization in μB/cell: 0.000
DFT formation energy in eV per atom: 0.243

=====

Entry 11:
First-principles (PBE-GGA) data for crystalline La2ZnGa12 at its relaxed geometry, as listed in Alexandria via LeMat-Bulk.

Structure (POSCAR):
```
La2ZnGa12
1.0
6.3045 0.0000 0.0000
0.0000 6.3045 0.0000
0.0000 0.0000 15.3268
Ga La Zn
24 4 2
Direct
0.2494 0.7494 0.0884
0.7506 0.7494 0.9116
0.8268 0.6732 0.4295
0.7506 0.2506 0.0884
0.7494 0.7506 0.0884
0.5000 0.5000 0.6571
0.1732 0.6732 0.5705
0.2506 0.2494 0.0884
0.3268 0.8268 0.4295
0.6732 0.8268 0.5705
0.0000 0.0000 0.3429
0.8268 0.3268 0.5705
0.3268 0.1732 0.5705
0.0000 0.0000 0.6571
0.1732 0.3268 0.4295
0.5000 0.5000 0.1798
0.0000 0.0000 0.8202
0.0000 0.0000 0.1798
0.7494 0.2494 0.9116
0.5000 0.5000 0.3429
0.6732 0.1732 0.4295
0.2494 0.2506 0.9116
0.2506 0.7506 0.9116
0.5000 0.5000 0.8202
0.5000 0.0000 0.2465
0.0000 0.5000 0.2465
0.5000 0.0000 0.7535
0.0000 0.5000 0.7535
0.5000 0.0000 0.0000
0.0000 0.5000 0.0000
```

Computed properties:
Spin magnetization in μB/cell: 0.000
DFT formation energy in eV per atom: -0.349

=====

Entry 12:
First-principles (PBE-GGA) data for crystalline KTe3Pd at its relaxed geometry, as listed in Alexandria via LeMat-Bulk.

Structure (POSCAR):
```
KTe3Pd
1.0
-2.2596 -2.7843 4.0886
4.1877 -3.4693 -0.0482
2.6329 3.1284 3.5855
Te K Pd
3 1 1
Direct
0.0000 0.5000 0.0000
0.0000 0.0000 0.5000
0.5000 0.0000 0.0000
0.5000 0.5000 0.5000
0.0000 0.0000 0.0000
```

Computed properties:
Spin magnetization in μB/cell: 0.000
Formation energy (no corrections) in eV/f.u.: -1.187
Distance to the lowest polymorph of the same formula in eV/f.u.: 0.77

=====

Question: Look up the spin magnetization of the second one.
Answer: 0.001 μB/cell

=====

Question: What is the formula in the eleventh record?
Answer: La2ZnGa12

=====

Question: Which formula does entry 11 have?
Answer: La2ZnGa12

=====

What did the second record say?
First-principles (PBE-GGA) data for crystalline SiPdIO2 at its relaxed geometry, as listed in Alexandria via LeMat-Bulk.

Structure (POSCAR):
```
SiPdIO2
1.0
4.0762 0.0000 0.0000
0.0000 4.0762 0.0000
0.0000 0.0000 5.3744
Pd O I Si
1 2 1 1
Direct
0.0000 0.0000 0.0000
0.0000 0.5000 0.0000
0.5000 0.0000 0.0000
0.0000 0.0000 0.5000
0.5000 0.5000 0.5000
```

Computed properties:
Spin magnetization in μB/cell: 0.001
Formation energy (no corrections) in eV/f.u.: 2.318
Distance to the lowest polymorph of the same formula in eV/f.u.: 5.99